(1)
Entry from Alexandria via LeMat-Bulk: an optimized crystal structure of AcThIrPd (GGA-PBE).

Geometry as extended XYZ:
```
4
Lattice="4.1862 0.0008 -0.0025 -2.0915 3.6240 0.0000 -2.0969 -1.2106 7.3653" Properties=species:S:1:pos:R:3 pbc="T T T"
Ac 0.3930 -0.2664 4.7022
Th -1.6972 3.3587 0.6939
Ir -1.6995 0.9414 6.5629
Pd 2.4872 0.9430 2.5434
```

Results
Energy above the most stable polymorph in this dataset (meV/atom): 0
Energy of formation (meV/atom): -763.5
Space group: R3m (160)
D(E_F) (states/eV/f.u.): 1.1
E (eV/cell): -28.64

***

(2)
Entry from Alexandria via LeMat-Bulk: an optimized crystal structure of AcYIrPd (GGA-PBE).

Geometry as extended XYZ:
```
4
Lattice="5.1169 0.0000 0.0000 2.5584 4.4314 0.0000 2.5584 1.4771 4.1779" Properties=species:S:1:pos:R:3 pbc="T T T"
Y 7.6753 4.4314 3.1334
Ac 2.5584 1.4771 1.0445
Ir 5.1169 2.9542 2.0890
Pd 0.0000 0.0000 0.0000
```

Results
Energy of formation (meV/atom): -677.0
Space group: F-43m (216)
D(E_F) (states/eV/f.u.): 3.1
E (eV/cell): -27.33

***

(3)
Entry from Alexandria via LeMat-Bulk: an optimized crystal structure of AcZn2IrPd (GGA-PBE).

Geometry as extended XYZ:
```
5
Lattice="-0.1565 0.3219 -4.2563 -0.7482 -3.9845 -0.2739 -5.3117 2.8935 2.5573" Properties=species:S:1:pos:R:3 pbc="T T T"
Ac -4.8511 0.8940 0.2460
Zn -2.3226 0.5745 -2.0143
Zn -0.6857 0.1264 0.0348
Ir -4.4267 -1.0989 -2.0635
Pd -2.5921 -1.5835 -0.0245
```

Results
Energy of formation (meV/atom): -458.0
Space group: Imm2 (44)
D(E_F) (states/eV/f.u.): 2.0
E (eV/cell): -23.00